Record 1
LiNpTl2O8, optimized geometry, DFT PBE-GGA; D(E_F) = 0.40 states/eV/cell; VASP energy = -75.30 eV for the cell shown
1.0
5.471 0.091 -0.004
0.119 4.636 -0.005
0.005 0.007 6.560
Np O Tl Li
1 8 2 1
direct
0.000 0.000 0.000
0.861 0.228 0.769
0.679 0.752 0.000
0.139 0.772 0.769
0.417 0.120 0.500
0.321 0.248 0.000
0.861 0.228 0.231
0.583 0.880 0.500
0.139 0.772 0.231
0.500 0.500 0.248
0.500 0.500 0.752
0.000 0.000 0.500

***

Record 2
LiTm2NpO6, optimized geometry, DFT PBE-GGA; D(E_F) = 8.04 states/eV/cell; VASP energy = -84.44 eV for the cell shown
1.0
5.684 0.000 0.000
2.842 4.922 0.000
2.842 1.641 5.003
O Li Tm Np
6 1 2 1
direct
0.607 0.227 0.237
0.930 0.607 0.237
0.701 0.132 0.761
0.132 0.406 0.761
0.406 0.701 0.761
0.227 0.930 0.237
0.796 0.796 0.612
0.019 0.019 0.943
0.527 0.527 0.420
0.318 0.318 0.047